Entry from Alexandria: an optimized crystal structure of LaYZnAu (PBE-GGA).

* energy of formation: -0.550 eV/atom
* energy: -4.536 eV per atom
* size of the total moment: 0.00 μB per formula unit
* excess energy over the best structure of this formula in the dataset: 0.023 eV per atom

```
data_LaYZnAu
_cell_length_a 7.389
_cell_length_b 7.389
_cell_length_c 7.389
_cell_angle_alpha 90.00
_cell_angle_beta 90.00
_cell_angle_gamma 90.00
_space_group_name_H-M_alt 'F -4 3 m'
_space_group_IT_number 216
_space_group_name_Hall 'F -4 2 3'
loop_
_atom_site_label
_atom_site_type_symbol
_atom_site_fract_x
_atom_site_fract_y
_atom_site_fract_z
_atom_site_occupancy
La1 La 0.000 0.000 0.000 1
Y1 Y 0.000 0.000 0.500 1
Zn1 Zn 0.250 0.250 0.250 1
Au1 Au 0.250 0.250 0.750 1
```